{
  "formula": "MgInSn2",
  "functional": "GGA-PBE",
  "state": "optimized geometry",
  "lattice_angstrom": [[4.670, 0.000, 0.000], [2.335, 4.044, 0.000], [2.335, 1.348, 5.974]],
  "species": ["Mg", "In", "Sn", "Sn"],
  "fractional_positions": [[0.670, 0.670, 0.989], [0.497, 0.497, 0.508], [0.078, 0.078, 0.766], [0.254, 0.254, 0.237]],
  "total_magnetization_mub_per_atom": 0.00,
  "relative_energy_mev_per_atom": 72.7,
  "delta_e_f_mev_per_atom": 19,
  "spacegroup": "R3m (160)"
}